# TlPd5Pt2

TlPd5Pt2 after structural relaxation (PBE, Alexandria).

Structure (POSCAR):
```
TlPd5Pt2
1.0
-1.6260 2.1864 0.6094
-5.3905 -7.1939 5.0307
5.3164 1.6918 8.1159
Pt Tl Pd
4 2 10
Direct
0.9042 0.8085 0.3799
0.0958 0.1915 0.6201
0.9042 0.8085 0.1201
0.0958 0.1915 0.8799
0.8428 0.6856 0.7500
0.1572 0.3144 0.2500
0.9662 0.9323 0.8844
0.3076 0.6151 0.9970
0.0338 0.0677 0.3844
0.3076 0.6151 0.5030
0.2173 0.4347 0.7500
0.6924 0.3849 0.0030
0.0338 0.0677 0.1156
0.9662 0.9323 0.6156
0.6924 0.3849 0.4970
0.7827 0.5653 0.2500
```

Summary:
For the formation enthalpy at 0 K, the calculation gives 168 meV/atom.

=====

# GdTaIr2

GdTaIr2 after structural relaxation (PBE, Alexandria).

Structure (POSCAR):
```
GdTaIr2
1.0
-0.1054 -3.0758 -0.5474
2.5607 0.2287 -1.7782
4.3517 -1.2361 6.1075
Ir Gd Ta
2 1 1
Direct
0.0000 0.0000 0.2076
0.0000 0.0000 0.7924
0.5000 0.5000 0.5000
0.5000 0.5000 0.0000
```

Summary:
For the formation enthalpy at 0 K, the calculation gives -610 meV/atom.

=====

# AcPuPd2

AcPuPd2 after structural relaxation (PBE, Alexandria).

Structure (POSCAR):
```
AcPuPd2
1.0
-1.5406 2.9503 2.8896
-3.9083 -0.6425 1.9339
1.0990 -2.4360 6.4346
Ac Pd Pu
1 2 1
Direct
0.5000 0.5000 0.5000
0.2620 0.2620 0.2139
0.7380 0.7380 0.7861
0.0000 0.0000 0.0000
```

Summary:
For the formation enthalpy at 0 K, the calculation gives -510 meV/atom.

=====

# MnCuP2

MnCuP2 after structural relaxation (PBE, Alexandria).

Structure (POSCAR):
```
MnCuP2
1.0
4.3744 -0.0225 -0.0236
0.9718 4.2652 0.0236
-2.4354 -2.4209 2.7101
Mn Cu P
1 1 2
Direct
0.2500 0.7500 0.5000
0.7500 0.2500 0.5000
0.9978 0.9978 0.0000
0.5022 0.5022 0.0000
```

Summary:
For the formation enthalpy at 0 K, the calculation gives 155 meV/atom.

=====

# LiAgCl2

LiAgCl2 after structural relaxation (PBE, Alexandria).

Structure (POSCAR):
```
LiAgCl2
1.0
-0.6069 5.3931 0.2771
-5.0802 -1.3170 1.4100
5.0654 -0.1007 1.9654
Cl Li Ag
2 1 1
Direct
0.9831 0.9831 0.0000
0.5169 0.5169 0.0000
0.7500 0.2500 0.5000
0.2500 0.7500 0.5000
```

Summary:
The calculated total energy comes out at -3.118 eV per atom.

=====

# Pm2AlZn4Cu3

Pm2AlZn4Cu3 after structural relaxation (PBE, Alexandria).

Structure (POSCAR):
```
Pm2AlZn4Cu3
1.0
-0.8354 -1.0543 3.8213
3.9363 -0.6823 0.6723
1.2810 10.5280 3.1848
Cu Zn Pm Al
3 4 2 1
Direct
0.0000 0.5000 0.1372
0.5000 0.0000 0.8628
0.0000 0.0000 0.5000
0.0000 0.5000 0.3590
0.5000 0.5000 0.0000
0.5000 0.0000 0.6410
0.0000 0.0000 0.0000
0.0000 0.5000 0.7548
0.5000 0.0000 0.2452
0.5000 0.5000 0.5000
```

Summary:
For the formation enthalpy at 0 K, the calculation gives -285 meV/atom.

=====

# Ac2CuN

Ac2CuN after structural relaxation (PBE, Alexandria).

Structure (POSCAR):
```
Ac2CuN
1.0
-1.8569 3.4691 0.2686
-3.0332 0.4260 2.4846
3.0814 3.4027 6.3086
Ac Cu N
2 1 1
Direct
0.7648 0.7648 0.7056
0.2352 0.2352 0.2944
0.0000 0.0000 0.0000
0.5000 0.5000 0.5000
```

Summary:
The calculated total energy comes out at -5.603 eV per atom.

=====

# LiBeTe2

LiBeTe2 after structural relaxation (PBE, Alexandria).

Structure (POSCAR):
```
LiBeTe2
1.0
-2.8966 -1.6397 2.4815
0.2444 -0.2805 -4.1350
4.2741 -6.5009 0.6936
Te Li Be
2 1 1
Direct
0.0000 0.0000 0.4668
0.0000 0.0000 0.0332
0.5000 0.5000 0.7500
0.5000 0.5000 0.2500
```

Summary:
The calculated total energy comes out at -3.079 eV per atom.

=====

Volume values, unit Å³ per atom, following the record order: 17.5; 18.6; 27.3; 12.7; 24.0; 18.2; 25.1; 26.7.